No. 1
Material: Cu2TePdO8
Method: DFT, PBE
State: relaxed

```
Cu2TePdO8
1.0
5.6243 0.5271 0.0000
-2.0220 5.2746 0.0000
-1.8011 -2.9009 4.5001
Cu Te Pd O
2 1 1 8
Direct
0.7500 0.2500 0.5000
0.5000 0.5000 0.0000
0.2500 0.7500 0.5000
0.0000 0.0000 0.0000
0.3452 0.0284 0.3168
0.3026 0.4995 0.1969
0.3026 0.1056 0.8031
0.7116 0.0284 0.6832
0.8944 0.6974 0.1969
0.9716 0.2884 0.3168
0.9716 0.6548 0.6832
0.5005 0.6974 0.8031
```

Properties
- Crystal system: tetragonal
- Volume: 138 Å³/f.u.
- Magnetic moment: 2.19 μB per cell
- Electronic total energy: -4.88 eV/atom
- Energy relative to the elements, uncorrected: -196 meV per atom

=====

No. 2
Material: VBiI2
Method: DFT, PBE
State: relaxed

```
VBiI2
1.0
3.8258 0.0000 0.0000
1.9129 3.3132 0.0000
1.9129 1.1044 11.7292
I Bi V
2 1 1
Direct
0.1185 0.1185 0.6446
0.8815 0.8815 0.3554
0.0000 0.0000 0.0000
0.5000 0.5000 0.5000
```

Properties
- ΔE to the lowest computed polymorph: 0.0 meV per atom
- Crystal system: trigonal
- Volume: 149 Å³/f.u.
- Magnetic moment: 2.83 μB per cell
- Electronic total energy: -4.02 eV/atom
- Energy relative to the elements, uncorrected: 2 meV per atom